i | TaIn3Sn after structural relaxation. Source: Alexandria via LeMat-Bulk, functional GGA-PBE.

**Space group**: No. 221
**Spin magnetization**: 3.04 μB per formula unit

a = 5.493 Å, b = 5.493 Å, c = 5.493 Å
α = 90.00°, β = 90.00°, γ = 90.00°
Site moments in Bohr magnetons follow the coordinates.
Positions (direct):
In: 0.000 0.500 0.000  0.01
Sn: 0.000 0.000 0.000  0.06
In: 0.000 0.000 0.500  0.00
Ta: 0.500 0.500 0.500  1.94
In: 0.500 0.000 0.000  0.00

=====

ii | TaIn3Sn after structural relaxation. Source: Alexandria via LeMat-Bulk, functional GGA-PBE.

**Space group**: No. 221
**Spin magnetization**: 0.00 μB per formula unit

a = 5.405 Å, b = 5.405 Å, c = 5.405 Å
α = 90.00°, β = 90.00°, γ = 90.00°
Positions (direct):
In: 0.000 0.000 0.500
In: 0.000 0.500 0.000
Ta: 0.000 0.000 0.000
Sn: 0.500 0.500 0.500
In: 0.500 0.000 0.000

=====

Of them, ii has the highest stability.

=====

i | TbInSn after structural relaxation. Source: Alexandria via LeMat-Bulk, functional GGA-PBE.

**Space group**: No. 63
**Spin magnetization**: 0.00 μB per formula unit

a = 4.699 Å, b = 6.306 Å, c = 6.220 Å
α = 90.00°, β = 90.00°, γ = 111.88°
Positions (direct):
Tb: 0.643 0.786 0.750
In: 0.040 0.580 0.250
In: 0.960 0.420 0.750
Tb: 0.357 0.214 0.250
Sn: 0.319 0.137 0.750
Sn: 0.681 0.863 0.250

=====

ii | TbInSn after structural relaxation. Source: Alexandria via LeMat-Bulk, functional GGA-PBE.

**Space group**: No. 156
**Spin magnetization**: 0.00 μB per formula unit

a = 3.379 Å, b = 5.187 Å, c = 5.187 Å
α = 120.00°, β = 90.00°, γ = 90.00°
Positions (direct):
Tb: 0.666 0.333 0.667
In: 0.171 0.667 0.333
Sn: 0.163 0.000 0.000

=====

iii | TbInSn after structural relaxation. Source: Alexandria via LeMat-Bulk, functional GGA-PBE.

**Space group**: No. 63
**Spin magnetization**: 0.00 μB per formula unit

a = 5.979 Å, b = 6.365 Å, c = 5.208 Å
α = 90.00°, β = 125.03°, γ = 90.00°
Positions (direct):
In: 0.313 0.750 0.127
Tb: 0.676 0.750 0.851
In: 0.687 0.250 0.873
Tb: 0.324 0.250 0.149
Sn: 0.000 0.500 0.500
Sn: 0.000 0.000 0.500

=====

iv | TbInSn after structural relaxation. Source: Alexandria via LeMat-Bulk, functional GGA-PBE.

**Space group**: No. 107
**Spin magnetization**: 0.02 μB per formula unit

a = 3.776 Å, b = 3.776 Å, c = 6.220 Å
α = 107.67°, β = 107.67°, γ = 90.00°
Positions (direct):
Tb: 0.333 0.333 0.666
Sn: 0.012 0.012 0.025
In: 0.655 0.655 0.310

=====

Of them, i has the highest stability.

=====

i | TbInSn3 after structural relaxation. Source: Alexandria via LeMat-Bulk, functional GGA-PBE.

**Space group**: No. 62
**Spin magnetization**: 0.00 μB per formula unit

a = 8.360 Å, b = 6.393 Å, c = 10.489 Å
α = 90.00°, β = 90.00°, γ = 90.00°
Positions (direct):
Sn: 0.238 0.022 0.838
Tb: 0.420 0.250 0.593
Sn: 0.762 0.522 0.162
Sn: 0.238 0.478 0.838
Sn: 0.763 0.250 0.898
Tb: 0.920 0.750 0.907
Sn: 0.737 0.250 0.398
Sn: 0.263 0.750 0.602
Sn: 0.762 0.978 0.162
Tb: 0.580 0.750 0.407
Sn: 0.237 0.750 0.102
Tb: 0.080 0.250 0.093
In: 0.963 0.750 0.424
In: 0.463 0.250 0.076
In: 0.537 0.750 0.924
Sn: 0.738 0.522 0.662
In: 0.037 0.250 0.576
Sn: 0.262 0.478 0.338
Sn: 0.738 0.978 0.662
Sn: 0.262 0.022 0.338

=====

ii | TbInSn3 after structural relaxation. Source: Alexandria via LeMat-Bulk, functional GGA-PBE.

**Space group**: No. 57
**Spin magnetization**: 0.00 μB per formula unit

a = 6.403 Å, b = 6.286 Å, c = 13.313 Å
α = 90.00°, β = 90.00°, γ = 90.00°
Positions (direct):
Sn: 0.500 0.750 0.501
Sn: 0.750 0.015 0.712
Tb: 0.750 0.011 0.311
In: 0.500 0.250 0.119
Sn: 0.000 0.750 0.501
Sn: 0.250 0.985 0.288
In: 0.500 0.750 0.881
Sn: 0.250 0.712 0.085
Sn: 0.250 0.212 0.915
Sn: 0.750 0.288 0.915
In: 0.000 0.750 0.881
Sn: 0.000 0.250 0.499
In: 0.000 0.250 0.119
Tb: 0.250 0.489 0.311
Sn: 0.250 0.485 0.712
Sn: 0.750 0.788 0.085
Tb: 0.250 0.989 0.689
Sn: 0.500 0.250 0.499
Sn: 0.750 0.515 0.288
Tb: 0.750 0.511 0.689

=====

Of them, ii has the highest stability.

=====

i | InTc2Sn2 after structural relaxation. Source: Alexandria via LeMat-Bulk, functional GGA-PBE.

**Space group**: No. 127
**Spin magnetization**: 0.00 μB per formula unit

a = 7.470 Å, b = 7.470 Å, c = 3.443 Å
α = 90.00°, β = 90.00°, γ = 90.00°
Positions (direct):
Tc: 0.646 0.146 0.000
Sn: 0.650 0.850 0.500
Tc: 0.146 0.354 0.000
Sn: 0.150 0.650 0.500
Tc: 0.854 0.646 0.000
Sn: 0.850 0.350 0.500
In: 0.500 0.500 0.000
In: 0.000 0.000 0.000
Sn: 0.350 0.150 0.500
Tc: 0.354 0.854 0.000

=====

ii | InTc2Sn2 after structural relaxation. Source: Alexandria via LeMat-Bulk, functional GGA-PBE.

**Space group**: No. 139
**Spin magnetization**: 0.00 μB per formula unit

a = 4.169 Å, b = 4.169 Å, c = 6.728 Å
α = 71.95°, β = 71.95°, γ = 90.00°
Positions (direct):
Sn: 0.750 0.250 0.500
In: 0.000 0.000 0.000
Tc: 0.401 0.401 0.198
Tc: 0.599 0.599 0.802
Sn: 0.250 0.750 0.500

=====

Of them, i has the highest stability.

=====

i | InTcSn3 after structural relaxation. Source: Alexandria via LeMat-Bulk, functional GGA-PBE.

**Space group**: No. 221
**Spin magnetization**: 0.69 μB per formula unit

a = 5.213 Å, b = 5.213 Å, c = 5.213 Å
α = 90.00°, β = 90.00°, γ = 90.00°
Site moments in Bohr magnetons follow the coordinates.
Positions (direct):
Sn: 0.500 0.000 0.000  -0.01
Sn: 0.000 0.000 0.500  0.02
In: 0.500 0.500 0.500  0.04
Sn: 0.000 0.500 0.000  0.01
Tc: 0.000 0.000 0.000  0.42

=====

ii | InTcSn3 after structural relaxation. Source: Alexandria via LeMat-Bulk, functional GGA-PBE.

**Space group**: No. 221
**Spin magnetization**: 3.88 μB per formula unit

a = 5.530 Å, b = 5.530 Å, c = 5.530 Å
α = 90.00°, β = 90.00°, γ = 90.00°
Site moments in Bohr magnetons follow the coordinates.
Positions (direct):
In: 0.000 0.000 0.000  0.03
Sn: 0.500 0.000 0.000  -0.06
Sn: 0.000 0.500 0.000  -0.06
Sn: 0.000 0.000 0.500  -0.02
Tc: 0.500 0.500 0.500  3.51

=====

Of them, i has the highest stability.

=====

i | InSn2Te4 after structural relaxation. Source: Alexandria via LeMat-Bulk, functional GGA-PBE.

**Space group**: No. 63
**Spin magnetization**: 0.00 μB per formula unit

a = 4.318 Å, b = 7.456 Å, c = 14.663 Å
α = 90.00°, β = 90.00°, γ = 106.83°
Positions (direct):
Sn: 0.140 0.279 0.440
Te: 0.500 0.000 0.000
Sn: 0.140 0.279 0.060
Te: 0.500 0.000 0.500
In: 0.402 0.804 0.250
In: 0.598 0.196 0.750
Te: 0.774 0.547 0.131
Te: 0.226 0.453 0.869
Te: 0.774 0.547 0.369
Sn: 0.860 0.721 0.560
Te: 0.953 0.906 0.750
Te: 0.047 0.094 0.250
Te: 0.226 0.453 0.631
Sn: 0.860 0.721 0.940

=====

ii | InSn2Te4 after structural relaxation. Source: Alexandria via LeMat-Bulk, functional GGA-PBE.

**Space group**: No. 122
**Spin magnetization**: 0.00 μB per formula unit

a = 8.724 Å, b = 8.724 Å, c = 8.722 Å
α = 104.56°, β = 104.56°, γ = 119.83°
Positions (direct):
Te: 0.484 0.769 0.792
Te: 0.941 0.727 0.708
Sn: 0.231 0.743 0.011
Te: 0.444 0.235 0.715
Te: 0.979 0.271 0.785
Sn: 0.993 0.981 0.511
Te: 0.019 0.234 0.292
Te: 0.977 0.691 0.208
Te: 0.485 0.194 0.215
In: 0.606 0.606 0.000
Sn: 0.470 0.482 0.489
Sn: 0.732 0.220 0.989
Te: 0.521 0.729 0.285
In: 0.856 0.356 0.500

=====

iii | InSn2Te4 after structural relaxation. Source: Alexandria via LeMat-Bulk, functional GGA-PBE.

**Space group**: No. 139
**Spin magnetization**: 0.33 μB per formula unit

a = 5.854 Å, b = 5.854 Å, c = 8.549 Å
α = 69.98°, β = 69.98°, γ = 90.00°
Site moments in Bohr magnetons follow the coordinates.
Positions (direct):
In: 0.000 0.000 0.000  0.00
Te: 0.795 0.795 0.409  0.09
Te: 0.000 0.500 0.000  0.01
Te: 0.205 0.205 0.591  0.09
Te: 0.500 0.000 0.000  0.01
Sn: 0.392 0.392 0.216  0.00
Sn: 0.608 0.608 0.784  0.00

=====

Of them, ii has the highest stability.

=====

i | In2SnTe after structural relaxation. Source: Alexandria via LeMat-Bulk, functional GGA-PBE.

**Space group**: No. 123
**Spin magnetization**: 0.00 μB per formula unit

a = 4.100 Å, b = 4.100 Å, c = 6.856 Å
α = 90.00°, β = 90.00°, γ = 90.00°
Positions (direct):
Te: 0.500 0.500 0.000
In: 0.000 0.000 0.251
Sn: 0.500 0.500 0.500
In: 0.000 0.000 0.749

=====

ii | In2SnTe after structural relaxation. Source: Alexandria via LeMat-Bulk, functional GGA-PBE.

**Space group**: No. 225
**Spin magnetization**: 0.00 μB per formula unit

a = 5.442 Å, b = 5.442 Å, c = 5.442 Å
α = 60.00°, β = 60.00°, γ = 60.00°
Positions (direct):
In: 0.250 0.250 0.250
Te: 0.500 0.500 0.500
In: 0.750 0.750 0.750
Sn: 0.000 0.000 0.000

=====

iii | In2SnTe after structural relaxation. Source: Alexandria via LeMat-Bulk, functional GGA-PBE.

**Space group**: No. 122
**Spin magnetization**: 0.00 μB per formula unit

a = 6.684 Å, b = 6.684 Å, c = 8.257 Å
α = 66.12°, β = 66.12°, γ = 90.00°
Positions (direct):
In: 0.144 0.625 0.250
Sn: 0.500 0.500 0.000
In: 0.606 0.125 0.250
Sn: 0.250 0.750 0.500
Te: 0.750 0.250 0.500
In: 0.375 0.394 0.750
In: 0.875 0.856 0.750
Te: 0.000 0.000 0.000

=====

Of them, iii has the highest stability.

=====

i | In2SnTe after structural relaxation. Source: Alexandria via LeMat-Bulk, functional GGA-PBE.

**Space group**: No. 166
**Spin magnetization**: 0.00 μB per formula unit

a = 3.518 Å, b = 3.518 Å, c = 11.361 Å
α = 81.09°, β = 81.09°, γ = 60.00°
Positions (direct):
In: 0.092 0.092 0.723
In: 0.908 0.908 0.277
Sn: 0.000 0.000 0.000
Te: 0.500 0.500 0.500

=====

ii | In2SnTe after structural relaxation. Source: Alexandria via LeMat-Bulk, functional GGA-PBE.

**Space group**: No. 160
**Spin magnetization**: 0.00 μB per formula unit

a = 4.108 Å, b = 4.108 Å, c = 8.592 Å
α = 76.17°, β = 76.17°, γ = 60.00°
Positions (direct):
In: 0.248 0.248 0.255
In: 0.085 0.085 0.744
Te: 0.498 0.498 0.505
Sn: 0.668 0.668 0.995

=====

Of them, ii has the highest stability.

=====

i | InSnTe3 after structural relaxation. Source: Alexandria via LeMat-Bulk, functional GGA-PBE.

**Space group**: No. 221
**Spin magnetization**: 0.00 μB per formula unit

a = 5.757 Å, b = 5.757 Å, c = 5.757 Å
α = 90.00°, β = 90.00°, γ = 90.00°
Positions (direct):
In: 0.500 0.500 0.500
Te: 0.000 0.000 0.500
Te: 0.500 0.000 0.000
Te: 0.000 0.500 0.000
Sn: 0.000 0.000 0.000

=====

ii | InSnTe3 after structural relaxation. Source: Alexandria via LeMat-Bulk, functional GGA-PBE.

**Space group**: No. 2
**Spin magnetization**: 0.00 μB per formula unit

a = 4.606 Å, b = 7.082 Å, c = 11.066 Å
α = 96.55°, β = 89.40°, γ = 109.18°
Positions (direct):
Sn: 0.417 0.802 0.570
Te: 0.371 0.744 0.977
Te: 0.629 0.256 0.023
Te: 0.938 0.860 0.750
Te: 0.062 0.140 0.250
Sn: 0.583 0.198 0.430
Te: 0.821 0.623 0.383
In: 0.149 0.289 0.866
In: 0.851 0.711 0.134
Te: 0.179 0.377 0.617

=====

Of them, ii has the highest stability.

=====

i | InSn3Te4 after structural relaxation. Source: Alexandria via LeMat-Bulk, functional GGA-PBE.

**Space group**: No. 31
**Spin magnetization**: 0.00 μB per formula unit

a = 6.409 Å, b = 10.503 Å, c = 8.902 Å
α = 90.00°, β = 90.00°, γ = 90.00°
Positions (direct):
Sn: 0.066 0.658 0.217
Te: 0.062 0.894 0.000
Te: 0.063 0.351 0.726
Te: 0.063 0.351 0.274
Te: 0.563 0.649 0.226
Sn: 0.066 0.139 0.500
Sn: 0.566 0.342 0.283
Sn: 0.566 0.861 0.000
Sn: 0.566 0.342 0.717
In: 0.566 0.815 0.500
Te: 0.064 0.811 0.500
Te: 0.562 0.106 0.500
In: 0.066 0.185 0.000
Te: 0.563 0.649 0.774
Te: 0.564 0.189 0.000
Sn: 0.066 0.658 0.783

=====

ii | InSn3Te4 after structural relaxation. Source: Alexandria via LeMat-Bulk, functional GGA-PBE.

**Space group**: No. 123
**Spin magnetization**: 0.00 μB per formula unit

a = 4.487 Å, b = 4.487 Å, c = 12.866 Å
α = 90.00°, β = 90.00°, γ = 90.00°
Positions (direct):
In: 0.000 0.000 0.000
Sn: 0.000 0.000 0.500
Te: 0.500 0.500 0.000
Te: 0.500 0.500 0.500
Te: 0.000 0.000 0.251
Sn: 0.500 0.500 0.750
Sn: 0.500 0.500 0.250
Te: 0.000 0.000 0.749

=====

Of them, ii has the highest stability.